Record 1
AlCrRu | PBEsol | relaxed

a b c (Å): 2.684 4.079 4.079
angles (deg): 120.00 90.00 90.00
Positions (direct):
Cr: 0.616 0.333 0.667
Al: 0.999 0.000 0.000
Ru: 0.385 0.667 0.333

Results
Space-group type: No. 156
E_form: -100.6 meV per atom

Record 2
AlCrRu | PBEsol | relaxed

a b c (Å): 4.058 4.058 4.058
angles (deg): 60.00 60.00 60.00
Positions (direct):
Ru: 0.500 0.500 0.500
Al: 0.250 0.250 0.250
Cr: 0.000 0.000 0.000

Results
Space-group type: No. 216
E_form: 571.3 meV per atom

Record 3
Al2CrS4 | PBEsol | relaxed

a b c (Å): 6.906 7.011 7.011
angles (deg): 60.88 60.50 60.50
Positions (direct):
Al: 0.500 0.500 0.500
Al: 0.134 0.116 0.616
Al: 0.500 0.000 0.000
Al: 0.866 0.884 0.384
S: 0.259 0.722 0.759
S: 0.741 0.278 0.241
S: 0.259 0.259 0.222
S: 0.741 0.741 0.778
S: 0.746 0.741 0.241
S: 0.271 0.741 0.241
S: 0.254 0.259 0.759
S: 0.729 0.259 0.759
Cr: 0.000 0.500 0.000
Cr: 0.500 0.500 0.000

Results
Space-group type: No. 74
Energy relative to the elements, uncorrected: -6.288 eV/f.u.

Record 4
AlCrS2 | PBEsol | relaxed

a b c (Å): 3.300 3.300 7.627
angles (deg): 77.51 77.51 60.00
Positions (direct):
S: 0.893 0.893 0.320
S: 0.107 0.107 0.680
Al: 0.000 0.000 0.000
Cr: 0.500 0.500 0.500

Results
Space-group type: No. 166
Energy relative to the elements, uncorrected: -1.880 eV/f.u.

Record 5
Sc2AlCr | PBEsol | relaxed

a b c (Å): 2.917 2.917 9.875
angles (deg): 81.51 81.51 60.00
Positions (direct):
Al: 0.500 0.500 0.500
Sc: 0.084 0.084 0.748
Sc: 0.916 0.916 0.252
Cr: 0.000 0.000 0.000

Results
Space-group type: No. 166
E_form: 510.1 meV per atom

Record 6
ScAl2Cr | PBEsol | relaxed

a b c (Å): 3.240 4.429 5.262
angles (deg): 114.89 107.93 90.00
Positions (direct):
Al: 0.756 0.256 0.512
Al: 0.009 0.009 0.017
Sc: 0.240 0.740 0.480
Cr: 0.495 0.495 0.990

Results
Space-group type: No. 44
E_form: -40.9 meV per atom

Record 7
Sc3AlCr | PBEsol | relaxed

a b c (Å): 4.742 4.742 4.742
angles (deg): 90.00 90.00 90.00
Positions (direct):
Cr: 0.000 0.000 0.000
Sc: 0.500 0.000 0.000
Sc: 0.000 0.000 0.500
Sc: 0.000 0.500 0.000
Al: 0.500 0.500 0.500

Results
Space-group type: No. 221
E_form: 422.4 meV per atom

Record 8
ScAlCr2 | PBEsol | relaxed

a b c (Å): 2.764 3.900 5.530
angles (deg): 90.00 102.79 90.00
Positions (direct):
Sc: 0.956 0.000 0.480
Cr: 0.382 0.500 0.213
Cr: 0.088 0.000 0.018
Al: 0.574 0.500 0.788

Results
Space-group type: No. 6
E_form: 103.6 meV per atom

> What is the formula in the sixth record?

ScAl2Cr